This record from Alexandria via LeMat-Bulk describes a relaxed structure of TaTc2As. The functional is PBE-GGA.

Values from the calculation:
formation enthalpy at 0 K	-87	meV/atom
M_tot	0.00	μB per formula unit
Fermi-level density of states	0.71	states/eV per atom

```
data_TaTc2As
_symmetry_space_group_name_H-M 'I m m m'
_symmetry_Int_Tables_number 71
_symmetry_space_group_name_Hall '-I 2 2'
_cell_length_a 3.065
_cell_length_b 4.510
_cell_length_c 8.906
_cell_angle_alpha 90.00
_cell_angle_beta 90.00
_cell_angle_gamma 90.00
loop_
_atom_site_label
_atom_site_fract_x
_atom_site_fract_y
_atom_site_fract_z
Ta1 0.000 0.000 0.000
Tc1 0.000 0.500 0.226
As1 0.000 0.000 0.500
```